The following is a DFT calculation (PBE-GGA) of a relaxed structure of SrYB.

Cell and atoms, written as POSCAR:
```
SrYB
1.0
4.941 0.000 0.000
-2.470 4.279 0.000
0.000 0.000 9.829
Sr Y B
2 2 2
direct
0.333 0.667 0.250 Sr
0.667 0.333 0.750 Sr
0.000 0.000 0.000 Y
0.000 0.000 0.500 Y
0.000 0.000 0.250 B
0.000 0.000 0.750 B
```

The density of states at the Fermi level is 4.2 states/eV/f.u. For the distance to the lowest polymorph of the same formula, the calculation gives 776 meV per atom. As for the space group: P6_3/mmc (194). The value obtained for the formation energy is 0.760 eV per atom. The calculated volume is 34.6 Å³ per atom.